#i
# Ge2TeRh2

A relaxed Ge2TeRh2 crystal (PBE, the Alexandria database).

Geometry as POSCAR:
```
Ge2TeRh2
1.0
7.577 0.000 0.000
0.000 7.577 0.000
0.000 0.000 2.996
Ge Te Rh
4 2 4
Direct
0.143 0.357 0.000
0.357 0.857 0.000
0.643 0.143 0.000
0.857 0.643 0.000
0.000 0.000 0.500
0.500 0.500 0.500
0.145 0.645 0.500
0.355 0.145 0.500
0.645 0.855 0.500
0.855 0.355 0.500
```

Results
Theoretical density = 9.2 g/cm3
Space group = No. 127



#ii
# Ge2TeRh2

A relaxed Ge2TeRh2 crystal (PBE, the Alexandria database).

Geometry as POSCAR:
```
Ge2TeRh2
1.0
-1.925 1.925 6.199
1.925 -1.925 6.199
1.925 1.925 -6.199
Ge Te Rh
2 1 2
Direct
0.250 0.750 0.500
0.750 0.250 0.500
0.000 0.000 0.000
0.375 0.375 0.000
0.625 0.625 0.000
```

Results
Theoretical density = 8.7 g/cm3
Space group = No. 139



The structure with the greatest stability is #ii.



#i
# Th3Ge2Rh7

A relaxed Th3Ge2Rh7 crystal (PBE, the Alexandria database).

Geometry as POSCAR:
```
Th3Ge2Rh7
1.0
2.063 -14.342 0.000
2.063 14.342 0.000
0.000 0.000 4.057
Th Ge Rh
3 2 7
Direct
0.000 0.000 0.000
0.199 0.801 0.000
0.801 0.199 0.000
0.416 0.584 0.500
0.584 0.416 0.500
0.129 0.871 0.500
0.290 0.710 0.500
0.369 0.631 0.000
0.500 0.500 0.500
0.631 0.369 0.000
0.710 0.290 0.500
0.871 0.129 0.500
```

Results
Theoretical density = 10.8 g/cm3
Space group = No. 65



#ii
# Th3Ge2Rh7

A relaxed Th3Ge2Rh7 crystal (PBE, the Alexandria database).

Geometry as POSCAR:
```
Th3Ge2Rh7
1.0
-2.062 2.062 13.281
2.062 -2.062 13.281
2.062 2.062 -13.281
Th Ge Rh
3 2 7
Direct
0.000 0.000 0.000
0.174 0.174 0.000
0.826 0.826 0.000
0.370 0.370 0.000
0.630 0.630 0.000
0.081 0.581 0.500
0.277 0.277 0.000
0.419 0.919 0.500
0.500 0.500 0.000
0.581 0.081 0.500
0.723 0.723 0.000
0.919 0.419 0.500
```

Results
Theoretical density = 11.5 g/cm3
Space group = No. 139



The structure with the greatest stability is #ii.